## Na2YCoSi (PBE)

Data for crystalline Na2YCoSi at its relaxed geometry. Values from VASP.

Geometry as Quantum ESPRESSO input:
```
&SYSTEM
  ibrav = 0, nat = 5, ntyp = 4
/
ATOMIC_SPECIES
Y 88.91 Y.upf
Na 22.99 Na.upf
Si 28.09 Si.upf
Co 58.93 Co.upf
ATOMIC_POSITIONS crystal
Y 0.000 0.500 0.000
Na 0.000 0.000 0.500
Na 0.500 0.000 0.000
Si 0.500 0.500 0.500
Co 0.000 0.000 0.000
CELL_PARAMETERS angstrom
-4.529 -1.559 1.494
-0.533 -2.605 -4.334
2.094 -4.018 2.157
```

- SG: P4/mmm (123)
- Total magnetic moment: 1.1 μB per formula unit
- DFT total energy: -3.611 eV per atom
- E_form (uncorrected): 345.1 kJ/mol of formula units
- DOS(E_F): 3.8 states/eV/f.u.